The following is a DFT calculation (PBE) of an optimized crystal structure of Rb3MnP.

ΔE to the lowest computed polymorph ... 0.0 meV/atom
M_tot ... 5.01 μB/cell
Fermi-level density of states ... 0.589 states/eV/atom
E_tot ... -2.9352 eV per atom

```
5
Lattice="6.620 0.000 0.000 0.000 6.620 0.000 0.000 0.000 6.620" Properties=species:S:1:pos:R:3 pbc="T T T"
Rb 0.000 0.000 3.310
Rb 0.000 3.310 0.000
Rb 3.310 0.000 0.000
Mn 3.310 3.310 3.310
P 0.000 0.000 0.000
```